Entry 1:
Entry from Alexandria via LeMat-Bulk: a relaxed structure of Si2SeBr (PBE-GGA).

abc: 3.4320 3.4320 7.0861
angles: 90.00 90.00 90.00
Closest atoms and distances in Å follow each position.
Positions (direct):
1 Si 0.0000 0.0000 0.2119  4 Se 2.85, 1 Si 3.00, 4 Br 3.17
2 Si 0.0000 0.0000 0.7881  4 Se 2.85, 1 Si 3.00, 4 Br 3.17
3 Se 0.5000 0.5000 0.0000  8 Si 2.85
4 Br 0.5000 0.5000 0.5000  8 Si 3.17, 4 Br 3.43, 2 Se 3.54

Calculated values
The energy comes out at -3.576 eV/atom. For the energy relative to the lowest polymorph listed for this composition, the calculation gives 498 meV per atom.



Entry 2:
Entry from Alexandria via LeMat-Bulk: a relaxed structure of KBrO2 (PBE-GGA).

abc: 6.2733 6.5845 3.9055
angles: 90.00 96.43 90.00
Closest atoms and distances in Å follow each position.
Positions (direct):
1 K 0.0000 0.0000 0.0000  6 O 2.82-2.98
2 K 0.5000 0.5000 0.0000  6 O 2.82-2.98
3 Br 0.0000 0.4821 0.5000  2 O 1.76
4 Br 0.5000 0.9821 0.5000  2 O 1.76
5 O 0.2129 0.3216 0.4181  1 Br 1.76
6 O 0.2871 0.8216 0.5819  1 Br 1.76
7 O 0.7129 0.8216 0.4181  1 Br 1.76
8 O 0.7871 0.3216 0.5819  1 Br 1.76

Calculated values
The energy comes out at -3.799 eV/atom. For the energy relative to the lowest polymorph listed for this composition, the calculation gives 163 meV per atom.



- The highest energy belongs to which entry?
  Si2SeBr